Entry 1:
A relaxed structure of Ti2NiCl2, computed with PBE-GGA.

a = 6.4196 Å, b = 6.4196 Å, c = 6.4196 Å
α = 144.26°, β = 144.26°, γ = 51.43°
Last column: nearest neighbours and their distance in Å.
Element x y z (fractional)
Ti1 0.1092 0.1092 0.0000  1 Ti 2.53, 4 Cl 2.56
Ti2 0.8908 0.8908 0.0000  1 Ti 2.53, 4 Cl 2.56
Ni1 0.5000 0.5000 0.0000  8 Ti 3.06
Cl1 0.2500 0.7500 0.5000  4 Ti 2.56, 4 Cl 2.79
Cl2 0.7500 0.2500 0.5000  4 Ti 2.56, 4 Cl 2.79

Summary:
Raw total energy (eV per atom): -5.180
V (Å³ per cell): 90
Crystal system: tetragonal

---

Entry 2:
A relaxed structure of TiNi2Cl, computed with PBE-GGA.

a = 4.2964 Å, b = 4.2964 Å, c = 4.2964 Å
α = 60.00°, β = 60.00°, γ = 60.00°
Last column: nearest neighbours and their distance in Å.
Element x y z (fractional)
Ti1 0.0000 0.0000 0.0000  8 Ni 2.63
Ni1 0.2500 0.2500 0.2500  4 Cl 2.63, 4 Ti 2.63
Ni2 0.7500 0.7500 0.7500  4 Cl 2.63, 4 Ti 2.63
Cl1 0.5000 0.5000 0.5000  8 Ni 2.63

Summary:
Raw total energy (eV per atom): -4.972
V (Å³ per cell): 56
Crystal system: cubic

---

Entry 3:
A relaxed structure of Ti3NiCl, computed with PBE-GGA.

a = 4.3925 Å, b = 4.3925 Å, c = 4.3925 Å
α = 90.00°, β = 90.00°, γ = 90.00°
Last column: nearest neighbours and their distance in Å.
Element x y z (fractional)
Ti1 0.0000 0.0000 0.5000  2 Cl 2.20
Ti2 0.0000 0.5000 0.0000  2 Cl 2.20
Ti3 0.5000 0.0000 0.0000  2 Cl 2.20
Ni1 0.5000 0.5000 0.5000  12 Ti 3.11
Cl1 0.0000 0.0000 0.0000  6 Ti 2.20

Summary:
Raw total energy (eV per atom): -6.061
V (Å³ per cell): 85
Crystal system: cubic

---

The following offset from the most stable computed form values (in eV per atom) correspond, in order, to the records above: 0.000, 0.297, 0.000.
The following formation energy without anion corrections values (in meV per atom) correspond, in order, to the records above: -127.5, 354.0, 201.9.